1.
VASP calculation (PBE-GGA) on AcHoTcO6 after structural relaxation.

a b c (Å): 5.5443 5.5443 5.2670
angles (deg): 90.00 90.00 120.00
Last column: nearest neighbours and their distance in Å.
Space group P312 (No. 149)
One atom of each set of equivalent atoms:
Ac1 0.0000 0.0000 0.0000 x1  6 O 2.54
Ho1 0.3333 0.6667 0.5000 x1  6 O 2.24
Tc1 0.6667 0.3333 0.5000 x1  6 O 1.95
O1 0.3835 0.0391 0.7105 x6  1 Tc 1.95

Values from the calculation:
Its formation energy (no corrections) is -2.53 eV/atom. As for the final energy: -7.9520 eV per atom. The value obtained for the density of states at the Fermi level is 5.598 states/eV/cell.


2.
VASP calculation (PBE-GGA) on Sc8Ga2Pb after structural relaxation.

a b c (Å): 15.6355 4.5721 7.4818
angles (deg): 90.00 113.81 90.00
Last column: nearest neighbours and their distance in Å.
Space group C2/m (No. 12)
One atom of each set of equivalent atoms:
Sc1 0.0496 0.0000 0.2284 x4  1 Ga 2.84, 5 Sc 3.06-3.17
Sc2 0.1007 0.5000 0.9619 x4  2 Ga 2.90, 1 Pb 3.17, 4 Sc 3.17-3.23
Sc3 0.1629 0.0000 0.7335 x4  3 Ga 2.89-2.93, 3 Sc 3.17-3.23
Sc4 0.1824 0.5000 0.4394 x4  1 Ga 2.80, 4 Sc 2.99-3.06, 1 Pb 3.06
Ga1 0.2141 0.0000 0.1558 x4  7 Sc 2.80-2.93
Pb1 0.0000 0.5000 0.5000 x2  12 Sc 3.06-3.35

Values from the calculation:
As for the final energy: -5.8235 eV per atom. The formation energy comes out at -0.331 eV per atom. The value obtained for the density of states at the Fermi level is 26.682 states/eV/cell.


3.
VASP calculation (PBE-GGA) on CdPd after structural relaxation.

a b c (Å): 7.4858 7.4858 7.4858
angles (deg): 90.00 90.00 90.00
Last column: nearest neighbours and their distance in Å.
Space group Pm-3n (No. 223)
One atom of each set of equivalent atoms:
Cd1 0.0000 0.2500 0.5000 x6  4 Pd 2.65
Pd1 0.0000 0.5000 0.2500 x6  4 Cd 2.65

Values from the calculation:
As for the final energy: -2.6126 eV per atom. The formation energy comes out at 0.441 eV per atom. The value obtained for the density of states at the Fermi level is 4.545 states/eV/cell.


4.
VASP calculation (PBE-GGA) on BaSiP4 after structural relaxation.

a b c (Å): 8.0482 8.0482 8.0482
angles (deg): 90.00 90.00 90.00
Last column: nearest neighbours and their distance in Å.
Space group F-43m (No. 216)
One atom of each set of equivalent atoms:
Ba1 0.0000 0.0000 0.0000 x4  12 P 3.41, 4 Si 3.48
Si1 0.2500 0.2500 0.2500 x4  12 P 3.29, 4 Ba 3.48
P1 0.1008 0.1008 0.6008 x16  3 P 2.30

Values from the calculation:
Its formation energy (no corrections) is 0.14 eV/atom. As for the final energy: -4.6875 eV per atom. The value obtained for the density of states at the Fermi level is 9.420 states/eV/cell.